Be3Se | PBE-GGA | relaxed

Unit cell a=3.3485 b=3.3479 c=5.0970 alpha=90.00 beta=90.00 gamma=90.00
Element x y z (fractional)
Be1 0.5000 0.5000 0.9126
Be2 0.0000 0.0000 0.9128
Be3 0.5000 0.0000 0.6349
Se1 0.0000 0.5000 0.2063

Computed properties:
E_form (uncorrected) ... 0.33 eV/atom
Raw total energy ... -13.34 eV per cell
Polymorph energy (0 for the lowest one) ... 279 meV/atom